Record 1
A plane-wave DFT calculation with PBEsol was carried out for a relaxed structure of BaSr.

Cell: 4.1389 4.1389 13.4511 Å, 90.00 90.00 108.54°
With the nearest neighbours (Å) after each atom.
Fractional positions:
Sr 0.7500 0.2500 0.3782  6 Sr 4.07-4.14, 2 Ba 4.14
Sr 0.2500 0.7500 0.6218  6 Sr 4.07-4.14, 2 Ba 4.14
Ba 0.7500 0.2500 0.8717  6 Ba 4.14-4.21, 2 Sr 4.14
Ba 0.2500 0.7500 0.1283  6 Ba 4.14-4.21, 2 Sr 4.14

energy above the most stable polymorph in this dataset	0.004	eV/atom
space-group type	Cmme
total moment	0.00	μB/cell
theoretical density	3.4	Mg/m³



Record 2
A plane-wave DFT calculation with PBEsol was carried out for a relaxed structure of ZnCu2Rh.

Cell: 2.9433 4.0744 4.8331 Å, 114.93 107.73 90.00°
With the nearest neighbours (Å) after each atom.
Fractional positions:
Zn 0.0000 0.5000 0.0000  4 Cu 2.48, 4 Rh 2.51
Cu 0.7423 0.7423 0.4845  2 Zn 2.48, 4 Cu 2.52, 2 Rh 2.59
Cu 0.2577 0.2577 0.5155  2 Zn 2.48, 4 Cu 2.52, 2 Rh 2.59
Rh 0.5000 0.0000 0.0000  4 Zn 2.51, 4 Cu 2.59

space-group type	Immm
calculated total energy	-18.8	eV per cell
total moment	0.00	μB/cell
theoretical density	9.9	Mg/m³



Record 3
A plane-wave DFT calculation with PBEsol was carried out for a relaxed structure of Y2TlCl.

Cell: 5.2659 5.2659 5.2659 Å, 60.00 60.00 60.00°
With the nearest neighbours (Å) after each atom.
Fractional positions:
Y 0.7500 0.7500 0.7500  4 Cl 3.22, 4 Y 3.22
Y 0.0000 0.0000 0.0000  4 Tl 3.22, 4 Y 3.22
Cl 0.5000 0.5000 0.5000  4 Y 3.22, 4 Tl 3.22
Tl 0.2500 0.2500 0.2500  4 Cl 3.22, 4 Y 3.22

energy above the most stable polymorph in this dataset	0.750	eV/atom
space-group type	F-43m
total moment	0.00	μB/cell
theoretical density	6.7	Mg/m³
raw formation energy	-0.1	eV per formula unit



Record 4
A plane-wave DFT calculation with PBEsol was carried out for a relaxed structure of CrTc2Rh.

Cell: 2.6596 2.6596 7.4787 Å, 90.00 90.00 90.00°
With the nearest neighbours (Å) after each atom.
Fractional positions:
Tc 0.0000 0.0000 0.0022  8 Tc 2.66-2.68, 4 Rh 2.73
Tc 0.5000 0.5000 0.2577  4 Cr 2.62, 8 Tc 2.66-2.68
Cr 0.0000 0.0000 0.5024  4 Rh 2.58, 4 Tc 2.62, 4 Cr 2.66
Rh 0.5000 0.5000 0.7378  4 Cr 2.58, 4 Rh 2.66, 4 Tc 2.73

energy above the most stable polymorph in this dataset	0.003	eV/atom
space-group type	P4mm
total moment	0.00	μB/cell
theoretical density	11.0	Mg/m³



Record 5
A plane-wave DFT calculation with PBEsol was carried out for a relaxed structure of Fe13Co3.

Cell: 5.5813 5.5893 5.5893 Å, 90.00 90.00 90.00°
With the nearest neighbours (Å) after each atom.
Fractional positions:
Fe 0.2497 0.7501 0.2499  3 Co 2.42, 5 Fe 2.42
Fe 0.0000 0.5000 0.0000  8 Fe 2.42
Fe 0.7503 0.2499 0.2499  3 Co 2.42, 5 Fe 2.42
Fe 0.2497 0.7501 0.7501  3 Co 2.42, 5 Fe 2.42
Fe 0.5000 0.5000 0.0000  8 Fe 2.42
Fe 0.7503 0.7501 0.7501  3 Co 2.42, 5 Fe 2.42
Fe 0.5000 0.0000 0.5000  8 Fe 2.42
Fe 0.7503 0.7501 0.2499  3 Co 2.42, 5 Fe 2.42
Fe 0.2497 0.2499 0.7501  3 Co 2.42, 5 Fe 2.42
Fe 0.0000 0.0000 0.5000  8 Fe 2.42
Fe 0.5000 0.5000 0.5000  8 Fe 2.42
Fe 0.2497 0.2499 0.2499  3 Co 2.42, 5 Fe 2.42
Fe 0.7503 0.2499 0.7501  3 Co 2.42, 5 Fe 2.42
Co 0.5000 0.0000 0.0000  8 Fe 2.42
Co 0.0000 0.0000 0.0000  8 Fe 2.42
Co 0.0000 0.5000 0.5000  8 Fe 2.42

space-group type	P4/mmm
calculated total energy	-139.5	eV per cell
total moment	36.06	μB/cell
theoretical density	8.6	Mg/m³



Record 6
A plane-wave DFT calculation with PBEsol was carried out for a relaxed structure of YZrZn4.

Cell: 5.2577 5.2577 5.2577 Å, 60.00 60.00 60.00°
With the nearest neighbours (Å) after each atom.
Fractional positions:
Zn 0.8725 0.3758 0.3758  6 Zn 2.61-2.65
Zn 0.3758 0.8725 0.3758  6 Zn 2.61-2.65
Zn 0.3758 0.3758 0.3758  6 Zn 2.61-2.65
Zn 0.3758 0.3758 0.8725  6 Zn 2.61-2.65
Y 0.0000 0.0000 0.0000  12 Zn 3.08, 4 Zr 3.22
Zr 0.7500 0.7500 0.7500  12 Zn 3.08, 4 Y 3.22

space-group type	F-43m
calculated total energy	-24.0	eV per cell
total moment	1.21	μB/cell
theoretical density	7.1	Mg/m³



Record 7
A plane-wave DFT calculation with PBEsol was carried out for a relaxed structure of SmErHg2.

Cell: 5.1963 5.1963 5.1963 Å, 60.00 60.00 60.00°
With the nearest neighbours (Å) after each atom.
Fractional positions:
Hg 0.7500 0.7500 0.7500  4 Er 3.18, 4 Sm 3.18
Hg 0.2500 0.2500 0.2500  4 Er 3.18, 4 Sm 3.18
Sm 0.0000 0.0000 0.0000  8 Hg 3.18
Er 0.5000 0.5000 0.5000  8 Hg 3.18

space-group type	Fm-3m
calculated total energy	-13.4	eV per cell
total moment	0.12	μB/cell
theoretical density	12.0	Mg/m³



Record 8
A plane-wave DFT calculation with PBEsol was carried out for a relaxed structure of TiVO4.

Cell: 4.5842 7.2647 7.5582 Å, 98.29 90.00 90.00°
With the nearest neighbours (Å) after each atom.
Fractional positions:
V 0.0071 0.2104 0.0772  6 O 1.84-2.00
V 0.9929 0.7896 0.9228  6 O 1.84-2.00
V 0.5071 0.2896 0.4228  6 O 1.84-2.00
V 0.4929 0.7104 0.5772  6 O 1.84-2.00
O 0.2604 0.6585 0.7722  2 V 1.84-1.90
O 0.7129 0.7426 0.3581  2 Ti 1.89-1.93, 1 V 1.98
O 0.1957 0.0168 0.8997  1 Ti 1.90, 2 V 1.92-2.00
O 0.6957 0.4832 0.6003  1 Ti 1.90, 2 V 1.92-2.00
O 0.2871 0.2574 0.6419  2 Ti 1.89-1.93, 1 V 1.98
O 0.7396 0.3415 0.2278  2 V 1.84-1.90
O 0.7747 0.1092 0.4808  1 V 1.89, 2 Ti 1.96-1.98
O 0.2396 0.1585 0.2722  2 V 1.84-1.90
O 0.8043 0.9832 0.1003  1 Ti 1.90, 2 V 1.92-2.00
O 0.2747 0.3908 0.0192  1 V 1.89, 2 Ti 1.96-1.98
O 0.2253 0.8908 0.5192  1 V 1.89, 2 Ti 1.96-1.98
O 0.7871 0.2426 0.8581  2 Ti 1.89-1.93, 1 V 1.98
O 0.2129 0.7574 0.1419  2 Ti 1.89-1.93, 1 V 1.98
O 0.7253 0.6092 0.9808  1 V 1.89, 2 Ti 1.96-1.98
O 0.3043 0.5168 0.3997  1 Ti 1.90, 2 V 1.92-2.00
O 0.7604 0.8415 0.7278  2 V 1.84-1.90
Ti 0.0134 0.0764 0.6899  5 O 1.89-1.98
Ti 0.5134 0.4236 0.8101  5 O 1.89-1.98
Ti 0.9866 0.9236 0.3101  5 O 1.89-1.98
Ti 0.4866 0.5764 0.1899  5 O 1.89-1.98

space-group type	P2_1/c
total moment	4.02	μB/cell
theoretical density	4.3	Mg/m³
raw formation energy	-16.0	eV per formula unit



Record 9
A plane-wave DFT calculation with PBEsol was carried out for a relaxed structure of LuRe2.

Cell: 5.3149 5.3149 8.6355 Å, 90.00 90.00 120.00°
With the nearest neighbours (Å) after each atom.
Fractional positions:
Re 0.8287 0.6575 0.2500  6 Re 2.58-2.73
Re 0.1713 0.3425 0.7500  6 Re 2.58-2.73
Re 0.1713 0.8287 0.7500  6 Re 2.58-2.73
Re 0.0000 0.0000 0.5000  6 Re 2.67
Re 0.8287 0.1713 0.2500  6 Re 2.58-2.73
Re 0.6575 0.8287 0.7500  6 Re 2.58-2.73
Re 0.3425 0.1713 0.2500  6 Re 2.58-2.73
Re 0.0000 0.0000 0.0000  6 Re 2.67
Lu 0.6667 0.3333 0.9377  12 Re 3.08-3.12, 4 Lu 3.24-3.25
Lu 0.3333 0.6667 0.0623  12 Re 3.08-3.12, 4 Lu 3.24-3.25
Lu 0.3333 0.6667 0.4377  12 Re 3.08-3.12, 4 Lu 3.24-3.25
Lu 0.6667 0.3333 0.5623  12 Re 3.08-3.12, 4 Lu 3.24-3.25

space-group type	P6_3/mmc
calculated total energy	-129.9	eV per cell
total moment	0.00	μB/cell
theoretical density	17.2	Mg/m³



Record 10
A plane-wave DFT calculation with PBEsol was carried out for a relaxed structure of HfTi2Zn2.

Cell: 3.0928 7.2944 7.2944 Å, 90.00 90.00 90.00°
With the nearest neighbours (Å) after each atom.
Fractional positions:
Hf 0.0000 0.5000 0.5000  4 Zn 2.90, 2 Hf 3.09, 8 Ti 3.10
Hf 0.0000 0.0000 0.0000  4 Zn 2.90, 2 Hf 3.09, 8 Ti 3.10
Zn 0.0000 0.3789 0.8789  1 Zn 2.50, 6 Ti 2.59-2.70
Zn 0.0000 0.6211 0.1211  1 Zn 2.50, 6 Ti 2.59-2.70
Zn 0.0000 0.1211 0.3789  1 Zn 2.50, 6 Ti 2.59-2.70
Zn 0.0000 0.8789 0.6211  1 Zn 2.50, 6 Ti 2.59-2.70
Ti 0.5000 0.6772 0.8228  6 Zn 2.59-2.70
Ti 0.5000 0.1772 0.6772  6 Zn 2.59-2.70
Ti 0.5000 0.8228 0.3228  6 Zn 2.59-2.70
Ti 0.5000 0.3228 0.1772  6 Zn 2.59-2.70

energy above the most stable polymorph in this dataset	0.000	eV/atom
space-group type	P4/mbm
total moment	0.00	μB/cell
theoretical density	8.2	Mg/m³



Record 11
A plane-wave DFT calculation with PBEsol was carried out for a relaxed structure of CsNa3Sc.

Cell: 6.4737 6.4737 6.4737 Å, 90.00 90.00 90.00°
With the nearest neighbours (Å) after each atom.
Fractional positions:
Na 0.5000 0.0000 0.0000  2 Sc 3.24
Na 0.0000 0.5000 0.0000  2 Sc 3.24
Na 0.0000 0.0000 0.5000  2 Sc 3.24
Sc 0.0000 0.0000 0.0000  6 Na 3.24
Cs 0.5000 0.5000 0.5000  12 Na 4.58

space-group type	Pm-3m
calculated total energy	-8.6	eV per cell
total moment	1.68	μB/cell
theoretical density	1.5	Mg/m³



Record 12
A plane-wave DFT calculation with PBEsol was carried out for a relaxed structure of Na2SnPd2.

Cell: 4.7842 6.6522 6.6522 Å, 90.00 90.00 90.00°
With the nearest neighbours (Å) after each atom.
Fractional positions:
Na 0.5000 0.6675 0.8325  6 Pd 3.00-3.15, 1 Na 3.15
Na 0.5000 0.3325 0.1675  6 Pd 3.00-3.15, 1 Na 3.15
Na 0.5000 0.1675 0.6675  6 Pd 3.00-3.15, 1 Na 3.15
Na 0.5000 0.8325 0.3325  6 Pd 3.00-3.15, 1 Na 3.15
Pd 0.0000 0.1398 0.3602  2 Sn 2.57, 1 Pd 2.63
Pd 0.0000 0.8602 0.6398  2 Sn 2.57, 1 Pd 2.63
Pd 0.0000 0.6398 0.1398  2 Sn 2.57, 1 Pd 2.63
Pd 0.0000 0.3602 0.8602  2 Sn 2.57, 1 Pd 2.63
Sn 0.0000 0.5000 0.5000  4 Pd 2.57
Sn 0.0000 0.0000 0.0000  4 Pd 2.57

space-group type	P4/mbm
calculated total energy	-40.3	eV per cell
total moment	0.00	μB/cell
theoretical density	5.9	Mg/m³



no.,DOS at the Fermi energy (states/eV/atom)
1,1.13
2,0.49
3,0.90
4,1.11
5,0.77
6,0.95
7,1.12
8,0.36
9,0.68
10,1.43
11,1.63
12,0.41